(1)
## Ac8GeRh3Br3 (PBE)

Data for a relaxed Ac8GeRh3Br3 crystal.

## Properties
ΔE_f (raw)   -956 meV per atom
Size of the total moment   0.00 μB per formula unit
DOS(E_F)   0.827 states/eV/atom

Lattice parameters (Å, degrees): 8.9178 8.9178 9.3640 118.48 118.48 59.94
Sites, in units of the cell vectors:
Ac1 0.2184 0.7439 0.7061
Ac2 0.2352 0.2352 0.7048
Ac3 0.2561 0.2561 0.2936
Ac4 0.2561 0.7816 0.2939
Ac5 0.7439 0.2184 0.7061
Ac6 0.7439 0.7439 0.7064
Ac7 0.7648 0.7648 0.2952
Ac8 0.7816 0.2561 0.2939
Ge1 0.5000 0.5000 0.5000
Rh1 0.0000 0.0000 0.5000
Rh2 0.0000 0.5000 0.5000
Rh3 0.5000 0.0000 0.5000
Br1 0.0000 0.5000 0.0000
Br2 0.5000 0.0000 0.0000
Br3 0.5000 0.5000 0.0000

(2)
## CrC3Cl (PBE)

Data for a relaxed CrC3Cl crystal.

## Properties
ΔE_f (raw)   3401 meV per atom
Size of the total moment   0.00 μB per formula unit
DOS(E_F)   1.545 states/eV/atom
Distance to the lowest polymorph of the same formula   30.73 kcal/mol of atoms

Lattice parameters (Å, degrees): 3.6166 3.6166 3.6166 90.00 90.00 90.00
Sites, in units of the cell vectors:
Cr1 0.0000 0.0000 0.0000
C1 0.0000 0.5000 0.5000
C2 0.5000 0.0000 0.5000
C3 0.5000 0.5000 0.0000
Cl1 0.5000 0.5000 0.5000

(3)
## TbGeMo (PBE)

Data for a relaxed TbGeMo crystal.

## Properties
Energy relative to the elements   -494 meV per atom
Size of the total moment   0.24 μB per formula unit
DOS(E_F)   0.814 states/eV/atom

Lattice parameters (Å, degrees): 3.9402 3.9402 7.7920 90.00 90.00 90.00
Sites, in units of the cell vectors:
Tb1 0.2500 0.2500 0.1456
Tb2 0.7500 0.7500 0.8544
Ge1 0.2500 0.2500 0.7370
Ge2 0.7500 0.7500 0.2630
Mo1 0.2500 0.7500 0.5000
Mo2 0.7500 0.2500 0.5000

(4)
## AcTb2Pm5Sm (PBE)

Data for a relaxed AcTb2Pm5Sm crystal.

## Properties
Energy relative to the elements   142 meV per atom
Size of the total moment   0.00 μB per formula unit
DOS(E_F)   1.223 states/eV/atom

Lattice parameters (Å, degrees): 12.4985 12.4985 9.4916 90.00 90.00 154.07
Sites, in units of the cell vectors:
Ac1 0.1022 0.8978 0.5000
Ac2 0.8978 0.1022 0.0000
Tb1 0.3286 0.6714 0.7484
Tb2 0.3878 0.6122 0.3562
Tb3 0.6122 0.3878 0.8562
Tb4 0.6714 0.3286 0.2484
Pm1 0.0242 0.9758 0.8241
Pm2 0.1041 0.8959 0.1036
Pm3 0.1902 0.8098 0.7981
Pm4 0.2414 0.7586 0.4347
Pm5 0.4920 0.5080 0.6014
Pm6 0.5080 0.4920 0.1014
Pm7 0.7586 0.2414 0.9347
Pm8 0.8098 0.1902 0.2981
Pm9 0.8959 0.1041 0.6036
Pm10 0.9758 0.0242 0.3241
Sm1 0.2621 0.7379 0.1091
Sm2 0.7379 0.2621 0.6091

(5)
## Ac4GdMg (PBE)

Data for a relaxed Ac4GdMg crystal.

## Properties
Energy relative to the elements   387 meV per atom
Size of the total moment   7.57 μB per formula unit
DOS(E_F)   1.889 states/eV/atom

Lattice parameters (Å, degrees): 7.1728 7.1728 7.1728 60.00 60.00 60.00
Sites, in units of the cell vectors:
Ac1 0.1250 0.1250 0.1250
Ac2 0.1250 0.1250 0.6249
Ac3 0.1250 0.6249 0.1250
Ac4 0.6249 0.1250 0.1250
Gd1 0.7500 0.7500 0.7500
Mg1 0.5000 0.5000 0.5000

(6)
## Cr2CdNi (PBE)

Data for a relaxed Cr2CdNi crystal.

## Properties
Energy relative to the elements   294 meV per atom
Size of the total moment   0.00 μB per formula unit
DOS(E_F)   0.730 states/eV/atom

Lattice parameters (Å, degrees): 3.0391 4.3458 8.2764 90.00 90.00 90.00
Sites, in units of the cell vectors:
Cr1 0.0000 0.0000 0.0000
Cr2 0.0000 0.5000 0.2102
Cr3 0.5000 0.0000 0.2102
Cr4 0.5000 0.5000 0.0000
Cd1 0.0000 0.0000 0.5041
Cd2 0.5000 0.5000 0.5041
Ni1 0.0000 0.5000 0.7779
Ni2 0.5000 0.0000 0.7779

(7)
## TcTeI2N (PBE)

Data for a relaxed TcTeI2N crystal.

## Properties
ΔE_f (raw)   1396 meV per atom
Size of the total moment   4.42 μB per formula unit
DOS(E_F)   0.436 states/eV/atom
Distance to the lowest polymorph of the same formula   21.08 kcal/mol of atoms

Lattice parameters (Å, degrees): 6.2388 6.2388 3.9668 90.00 90.00 90.00
Sites, in units of the cell vectors:
Tc1 0.0000 0.0000 0.0000
Te1 0.5000 0.5000 0.5000
I1 0.0000 0.5000 0.5000
I2 0.5000 0.0000 0.5000
N1 0.5000 0.5000 0.0000

(8)
## NdSmScSn (PBE)

Data for a relaxed NdSmScSn crystal.

## Properties
Energy relative to the elements   -261 meV per atom
Size of the total moment   0.34 μB per formula unit
DOS(E_F)   1.734 states/eV/atom

Lattice parameters (Å, degrees): 7.6681 7.6681 7.6681 90.00 90.00 90.00
Sites, in units of the cell vectors:
Nd1 0.0000 0.0000 0.0000
Nd2 0.0000 0.5000 0.5000
Nd3 0.5000 0.0000 0.5000
Nd4 0.5000 0.5000 0.0000
Sm1 0.0000 0.0000 0.5000
Sm2 0.0000 0.5000 0.0000
Sm3 0.5000 0.0000 0.0000
Sm4 0.5000 0.5000 0.5000
Sc1 0.2500 0.2500 0.2500
Sc2 0.2500 0.7500 0.7500
Sc3 0.7500 0.2500 0.7500
Sc4 0.7500 0.7500 0.2500
Sn1 0.2500 0.2500 0.7500
Sn2 0.2500 0.7500 0.2500
Sn3 0.7500 0.2500 0.2500
Sn4 0.7500 0.7500 0.7500

(9)
## RbVMoP2 (PBE)

Data for a relaxed RbVMoP2 crystal.

## Properties
Energy relative to the elements   1425 meV per atom
Size of the total moment   0.47 μB per formula unit
DOS(E_F)   1.795 states/eV/atom

Lattice parameters (Å, degrees): 4.7325 4.7325 5.5501 90.00 90.00 90.00
Sites, in units of the cell vectors:
Rb1 0.0000 0.0000 0.0000
V1 0.5000 0.5000 0.0000
Mo1 0.0000 0.0000 0.5000
P1 0.0000 0.5000 0.5000
P2 0.5000 0.0000 0.5000

(10)
## PrSmYMg (PBE)

Data for a relaxed PrSmYMg crystal.

## Properties
Energy relative to the elements   -39 meV per atom
Size of the total moment   0.00 μB per formula unit
DOS(E_F)   1.205 states/eV/atom
Distance to the lowest polymorph of the same formula   0.00 kcal/mol of atoms

Lattice parameters (Å, degrees): 3.7081 3.7081 9.1387 90.00 90.00 90.00
Sites, in units of the cell vectors:
Pr1 0.0000 0.0000 0.0000
Sm1 0.5000 0.5000 0.7231
Y1 0.5000 0.5000 0.2747
Mg1 0.0000 0.0000 0.4937

(11)
## HRh2CI (PBE)

Data for a relaxed HRh2CI crystal.

## Properties
Size of the total moment   0.00 μB per formula unit
E   -3.690 eV per atom
DOS(E_F)   0.815 states/eV/atom

Lattice parameters (Å, degrees): 4.9229 4.9229 3.4629 90.00 90.00 90.00
Sites, in units of the cell vectors:
H1 0.0000 0.0000 0.0000
Rh1 0.0000 0.5000 0.5000
Rh2 0.5000 0.0000 0.5000
C1 0.5000 0.5000 0.0000
I1 0.0000 0.0000 0.5000

(12)
## Tl3AgSb2S6 (PBE)

Data for a relaxed Tl3AgSb2S6 crystal.

## Properties
ΔE_f (raw)   -218 meV per atom
Size of the total moment   0.00 μB per formula unit
DOS(E_F)   0.565 states/eV/atom

Lattice parameters (Å, degrees): 6.9375 6.9375 7.3920 98.88 98.88 120.13
Sites, in units of the cell vectors:
Tl1 0.0000 0.0000 0.0000
Tl2 0.3375 0.6625 0.0000
Tl3 0.6625 0.3375 0.0000
Ag1 0.5000 0.5000 0.5000
Sb1 0.1669 0.8331 0.5000
Sb2 0.8331 0.1669 0.5000
S1 0.0865 0.4264 0.2835
S2 0.2324 0.2324 0.7037
S3 0.4264 0.0865 0.2835
S4 0.5736 0.9135 0.7165
S5 0.7676 0.7676 0.2963
S6 0.9135 0.5736 0.7165

What is the size of the total moment in the first record?
0.00 μB per formula unit